(1)
This record from Alexandria describes a geometry-optimized ZrZn2Re structure. The functional is GGA-PBEsol.

## Properties
As for the total energy: -6.27 eV/atom. The calculation puts the energy above the most stable polymorph in this dataset at 240.5 meV per atom. The total magnetic moment comes out at 0.00 μB/cell. The formation energy comes out at 0.5 eV per formula unit.

Cell lengths 2.735, 2.735, 8.303 Å; angles 90.00, 90.00, 90.00 degrees
Fractional coordinates of all 4 atoms:
Zr1 0.000 0.000 0.000
Zn1 0.500 0.500 0.267
Zn2 0.500 0.500 0.733
Re1 0.000 0.000 0.500

(2)
This record from Alexandria describes a geometry-optimized ZrZn2Re structure. The functional is GGA-PBEsol.

## Properties
As for the total energy: -6.33 eV/atom. The calculation puts the energy above the most stable polymorph in this dataset at 178.6 meV per atom. The total magnetic moment comes out at 0.00 μB/cell. The formation energy comes out at 0.3 eV per formula unit.

Cell lengths 2.737, 2.737, 8.718 Å; angles 90.00, 90.00, 105.39 degrees
Fractional coordinates of all 4 atoms:
Zr1 0.000 0.000 0.000
Zn1 0.000 0.000 0.501
Zn2 0.500 0.500 0.270
Re1 0.500 0.500 0.737

(3)
This record from Alexandria describes a geometry-optimized Zr3ZnRe structure. The functional is GGA-PBEsol.

## Properties
As for the total energy: -7.29 eV/atom. The total magnetic moment comes out at 0.00 μB/cell. The formation energy comes out at 5.7 eV per formula unit.

Cell lengths 4.766, 4.766, 4.766 Å; angles 90.00, 90.00, 90.00 degrees
Fractional coordinates of all 5 atoms:
Zr1 0.000 0.000 0.500
Zr2 0.000 0.500 0.000
Zr3 0.500 0.000 0.000
Zn1 0.000 0.000 0.000
Re1 0.500 0.500 0.500

(4)
This record from Alexandria describes a geometry-optimized ZrZn2Re structure. The functional is GGA-PBEsol.

## Properties
As for the total energy: -6.51 eV/atom. The calculation puts the energy above the most stable polymorph in this dataset at 0.0 meV per atom. The total magnetic moment comes out at 0.00 μB/cell. The formation energy comes out at -0.4 eV per formula unit.

Cell lengths 4.898, 4.898, 4.898 Å; angles 133.66, 132.29, 68.70 degrees
Fractional coordinates of all 4 atoms:
Zr1 0.000 0.000 0.000
Zn1 0.251 0.751 0.500
Zn2 0.749 0.249 0.500
Re1 0.500 0.500 0.000

(5)
This record from Alexandria describes a geometry-optimized ZrZn2Re structure. The functional is GGA-PBEsol.

## Properties
As for the total energy: -6.28 eV/atom. The calculation puts the energy above the most stable polymorph in this dataset at 231.1 meV per atom. The total magnetic moment comes out at 0.00 μB/cell. The formation energy comes out at 0.5 eV per formula unit.

Cell lengths 2.761, 2.761, 8.199 Å; angles 90.00, 90.00, 90.00 degrees
Fractional coordinates of all 4 atoms:
Zr1 0.000 0.000 0.000
Zn1 0.000 0.000 0.511
Zn2 0.500 0.500 0.731
Re1 0.500 0.500 0.280

(6)
This record from Alexandria describes a geometry-optimized ZrRe2 structure. The functional is GGA-PBEsol.

## Properties
As for the total energy: -11.94 eV/atom. The total magnetic moment comes out at 0.00 μB/cell. The formation energy comes out at -0.1 eV per formula unit.

Cell lengths 4.486, 4.486, 2.797 Å; angles 90.00, 90.00, 120.00 degrees
Fractional coordinates of all 3 atoms:
Zr1 0.000 0.000 0.000
Re1 0.333 0.667 0.350
Re2 0.667 0.333 0.650

(7)
This record from Alexandria describes a geometry-optimized Zr3Re structure. The functional is GGA-PBEsol.

## Properties
As for the total energy: -10.26 eV/atom. The total magnetic moment comes out at 0.00 μB/cell. The formation energy comes out at -0.4 eV per formula unit.

Cell lengths 3.284, 3.284, 7.314 Å; angles 90.00, 90.00, 90.00 degrees
Fractional coordinates of all 4 atoms:
Zr1 0.000 0.000 0.000
Zr2 0.500 0.500 0.283
Zr3 0.500 0.500 0.717
Re1 0.000 0.000 0.500

(8)
This record from Alexandria describes a geometry-optimized ZrRe2 structure. The functional is GGA-PBEsol.

## Properties
As for the total energy: -11.86 eV/atom. The total magnetic moment comes out at 0.00 μB/cell. The formation energy comes out at 0.2 eV per formula unit.

Cell lengths 7.154, 6.959, 2.774 Å; angles 82.65, 74.74, 22.61 degrees
Fractional coordinates of all 3 atoms:
Zr1 0.000 0.000 0.000
Re1 0.328 0.328 0.672
Re2 0.672 0.672 0.328

(9)
This record from Alexandria describes a geometry-optimized ZrRe structure. The functional is GGA-PBEsol.

## Properties
As for the total energy: -11.27 eV/atom. The total magnetic moment comes out at 0.00 μB/cell. The formation energy comes out at -0.1 eV per formula unit.

Cell lengths 2.855, 2.855, 4.495 Å; angles 90.00, 90.00, 111.25 degrees
Fractional coordinates of all 2 atoms:
Zr1 0.000 0.000 0.000
Re1 0.500 0.500 0.500

(10)
This record from Alexandria describes a geometry-optimized Zr2Re structure. The functional is GGA-PBEsol.

## Properties
As for the total energy: -10.66 eV/atom. The total magnetic moment comes out at 0.00 μB/cell. The formation energy comes out at -0.5 eV per formula unit.

Cell lengths 8.730, 8.730, 8.730 Å; angles 60.00, 60.00, 60.00 degrees
Fractional coordinates of all 24 atoms:
Zr1 0.000 0.000 0.000
Zr2 0.000 0.000 0.500
Zr3 0.000 0.500 0.000
Zr4 0.186 0.186 0.564
Zr5 0.186 0.564 0.186
Zr6 0.186 0.564 0.564
Zr7 0.436 0.436 0.814
Zr8 0.436 0.814 0.436
Zr9 0.436 0.814 0.814
Zr10 0.500 0.000 0.000
Zr11 0.564 0.186 0.186
Zr12 0.564 0.186 0.564
Zr13 0.564 0.564 0.186
Zr14 0.814 0.436 0.436
Zr15 0.814 0.436 0.814
Zr16 0.814 0.814 0.436
Re1 0.131 0.790 0.790
Re2 0.210 0.210 0.210
Re3 0.210 0.210 0.869
Re4 0.210 0.869 0.210
Re5 0.790 0.131 0.790
Re6 0.790 0.790 0.131
Re7 0.790 0.790 0.790
Re8 0.869 0.210 0.210

(11)
This record from Alexandria describes a geometry-optimized ZrRe2 structure. The functional is GGA-PBEsol.

## Properties
As for the total energy: -12.24 eV/atom. The total magnetic moment comes out at 0.00 μB/cell. The formation energy comes out at -1.0 eV per formula unit.

Cell lengths 5.253, 5.253, 5.253 Å; angles 60.00, 60.00, 60.00 degrees
Fractional coordinates of all 6 atoms:
Zr1 0.125 0.125 0.125
Zr2 0.875 0.875 0.875
Re1 0.000 0.500 0.500
Re2 0.500 0.000 0.500
Re3 0.500 0.500 0.000
Re4 0.500 0.500 0.500

(12)
This record from Alexandria describes a geometry-optimized Zr2Re structure. The functional is GGA-PBEsol.

## Properties
As for the total energy: -10.64 eV/atom. The total magnetic moment comes out at 0.00 μB/cell. The formation energy comes out at -0.4 eV per formula unit.

Cell lengths 10.124, 10.124, 5.551 Å; angles 90.00, 90.00, 90.00 degrees
Fractional coordinates of all 30 atoms:
Zr1 0.031 0.370 0.000
Zr2 0.101 0.101 0.000
Zr3 0.130 0.531 0.500
Zr4 0.185 0.815 0.250
Zr5 0.185 0.815 0.750
Zr6 0.315 0.315 0.250
Zr7 0.315 0.315 0.750
Zr8 0.370 0.031 0.000
Zr9 0.399 0.601 0.500
Zr10 0.469 0.870 0.500
Zr11 0.531 0.130 0.500
Zr12 0.601 0.399 0.500
Zr13 0.630 0.969 0.000
Zr14 0.685 0.685 0.250
Zr15 0.685 0.685 0.750
Zr16 0.815 0.185 0.250
Zr17 0.815 0.185 0.750
Zr18 0.870 0.469 0.500
Zr19 0.899 0.899 0.000
Zr20 0.969 0.630 0.000
Re1 0.000 0.000 0.500
Re2 0.065 0.248 0.500
Re3 0.248 0.065 0.500
Re4 0.252 0.565 0.000
Re5 0.435 0.748 0.000
Re6 0.500 0.500 0.000
Re7 0.565 0.252 0.000
Re8 0.748 0.435 0.000
Re9 0.752 0.935 0.500
Re10 0.935 0.752 0.500